Entry 1:
# RbNaW3

A relaxed structure of RbNaW3 (GGA-PBE, Alexandria via LeMat-Bulk).

Computed properties:
* calculated total energy: -23.3 eV/cell
* relative energy among the computed polymorphs: 0.000 eV per atom
* calculated volume: 23.4 Å³/atom
* SG: Pm-3m, No. 221
* crystal system: cubic
* M_tot: 2.955 μB per formula unit
* formation energy from the elements: 3.578 eV/atom
* calculated density: 9.4 g/cm³

Cell: 4.893 4.893 4.893 Å, 90.00 90.00 90.00°
Site moments in Bohr magnetons follow the coordinates.
Atoms (fractional coordinates):
W 0.500 0.000 0.000  0.96
W 0.000 0.500 0.000  0.57
W 0.000 0.000 0.500  0.70
Rb 0.500 0.500 0.500  0.06
Na 0.000 0.000 0.000  0.05

***

Entry 2:
# Rb2NaY2

A relaxed structure of Rb2NaY2 (GGA-PBE, Alexandria via LeMat-Bulk).

Computed properties:
* calculated total energy: -11.9 eV/cell
* relative energy among the computed polymorphs: 0.161 eV per atom
* calculated volume: 49.4 Å³/atom
* SG: I4/mmm, No. 139
* crystal system: tetragonal
* M_tot: 1.708 μB per formula unit
* formation energy from the elements: 0.855 eV/atom
* calculated density: 2.5 g/cm³

Cell: 4.928 4.928 10.747 Å, 76.75 76.75 90.00°
Site moments in Bohr magnetons follow the coordinates.
Atoms (fractional coordinates):
Y 0.578 0.578 0.845  0.33
Y 0.422 0.422 0.155  0.33
Rb 0.750 0.250 0.500  0.01
Rb 0.250 0.750 0.500  0.01
Na 0.000 0.000 0.000  0.00

***

Entry 3:
# RbNaY3

A relaxed structure of RbNaY3 (GGA-PBE, Alexandria via LeMat-Bulk).

Computed properties:
* calculated total energy: -15.3 eV/cell
* relative energy among the computed polymorphs: 0.364 eV per atom
* calculated volume: 37.3 Å³/atom
* SG: Pm-3m, No. 221
* crystal system: cubic
* M_tot: 0.000 μB per formula unit
* formation energy from the elements: 1.275 eV/atom
* calculated density: 3.3 g/cm³

Cell: 5.713 5.713 5.713 Å, 90.00 90.00 90.00°
Atoms (fractional coordinates):
Y 0.500 0.000 0.000
Y 0.000 0.000 0.500
Y 0.000 0.500 0.000
Na 0.500 0.500 0.500
Rb 0.000 0.000 0.000